Entry 1:
Na4Np3BiTe8 | PBE-GGA | optimized geometry

The structure belongs to space group C2/m (No. 12); the cell edges are 15.605, 9.015 and 9.159 Å and the angles 90.00°, 124.64° and 90.00°. Symmetry generates all atoms from Na at (0.000, 0.000, 0.000), Na at (0.000, 0.500, 0.000), Na at (0.250, 0.250, 0.000), Np at (0.000, 0.000, 0.500), Np at (0.250, 0.250, 0.500), Bi at (0.000, 0.500, 0.500), Te at (0.005, 0.248, 0.263), Te at (0.244, 0.000, 0.733) and Te at (0.247, 0.500, 0.736).



Entry 2:
Na3Np3BiTe8 | PBE-GGA | optimized geometry

The structure belongs to space group R-3m (No. 166, hexagonal axes); the cell edges are 8.9104, 8.9104 and 22.5976 Å and the angles 90.00°, 90.00° and 120.00°. Symmetry generates all atoms from Na at (0.0000, 0.5000, 0.0000), Np at (0.0000, 0.5000, 0.5000), Bi at (0.0000, 0.0000, 0.5000), Te at (0.0000, 0.0000, 0.2447) and Te at (0.0096, 0.5048, 0.7549).



Entry 3:
Na3BiO3 | PBE-GGA | optimized geometry

As for the energy above the lowest structure with this stoichiometry: 136 meV/atom.

The structure belongs to space group C2/m (No. 12); the cell edges are 7.535, 9.814 and 6.588 Å and the angles 90.00°, 101.77° and 90.00°. Symmetry generates all atoms from Na at (0.000, 0.190, 0.000), Na at (0.000, 0.199, 0.500), Na at (0.193, 0.500, 0.103), Bi at (0.218, 0.500, 0.626), O at (0.001, 0.000, 0.251) and O at (0.134, 0.343, 0.797).



Entry 4:
Na3BiO3 | PBE-GGA | optimized geometry

As for the energy above the lowest structure with this stoichiometry: 0 meV/atom.

The structure belongs to space group I-43m (No. 217); the cell edges are 9.778, 9.778 and 9.778 Å and the angles 90.00°, 90.00° and 90.00°. Symmetry generates all atoms from Na at (0.098, 0.377, 0.377), Bi at (0.143, 0.143, 0.143) and O at (0.128, 0.128, 0.356).



| no. | formation energy without anion corrections (eV per atom) |
| --- | --- |
| 1 | -0.735 |
| 2 | -0.696 |
| 3 | -1.286 |
| 4 | -1.422 |